A relaxed structure of Ac6LaDy2, computed with PBE.

Results
Crystal system: monoclinic
D(E_F) (states/eV/f.u.): 15.02
VASP energy (eV per atom): -4.145
DFT formation energy (eV/atom): 0.164
Spin magnetization (μB/atom): 0.00

abc: 9.8125 12.9965 12.9965
angles: 81.13 132.33 132.33
Element x y z (fractional)
1 Ac 0.3869 0.6099 0.6992
2 Ac 0.1131 0.3008 0.3901
3 Ac 0.6131 0.3901 0.3008
4 Ac 0.8869 0.6992 0.6099
5 Ac 0.6780 0.8431 0.2829
6 Ac 0.8220 0.7171 0.1569
7 Ac 0.3220 0.1569 0.7171
8 Ac 0.1780 0.2829 0.8431
9 Ac 0.9256 0.6276 0.9321
10 Ac 0.5744 0.0679 0.3724
11 Ac 0.0744 0.3724 0.0679
12 Ac 0.4256 0.9321 0.6276
13 La 0.2500 0.0251 0.9749
14 La 0.7500 0.9749 0.0251
15 Dy 0.1053 0.5337 0.8199
16 Dy 0.3947 0.1801 0.4663
17 Dy 0.8947 0.4663 0.1801
18 Dy 0.6053 0.8199 0.5337